Record 1
{
  "formula": "La3Pr8Tm2",
  "functional": "PBE",
  "state": "optimized geometry",
  "polymorph_energy_mev_per_atom": 0,
  "e_form_ev_per_atom": 0.14,
  "lattice_angstrom": [[6.1295, 0.2800, 1.3110], [1.9301, 8.6679, 1.5545], [0.7743, -0.6841, 8.9559]],
  "species": ["La", "La", "La", "Pr", "Pr", "Pr", "Pr", "Pr", "Pr", "Pr", "Pr", "Tm", "Tm"],
  "fractional_positions": [[0.5000, 0.0000, 0.0000], [0.0000, 0.2396, 0.7604], [0.0000, 0.7604, 0.2396], [0.2068, 0.5584, 0.5584], [0.7932, 0.4416, 0.4416], [0.9554, 0.1578, 0.1578], [0.0446, 0.8422, 0.8422], [0.6765, 0.5688, 0.0793], [0.6765, 0.0793, 0.5688], [0.3235, 0.9207, 0.4312], [0.3235, 0.4312, 0.9207], [0.3665, 0.2908, 0.2908], [0.6335, 0.7092, 0.7092]]
}

Record 2
{
  "formula": "CrHgIr2",
  "functional": "PBE",
  "state": "optimized geometry",
  "e_form_ev_per_atom": 0.29,
  "lattice_angstrom": [[2.8229, 0.0000, 0.0000], [0.0000, 2.8229, 0.0000], [0.0000, 0.0000, 7.9909]],
  "species": ["Cr", "Hg", "Ir", "Ir"],
  "fractional_positions": [[0.0000, 0.0000, 0.4732], [0.5000, 0.5000, 0.7464], [0.0000, 0.0000, 0.0235], [0.5000, 0.5000, 0.2569]]
}

Record 3
{
  "formula": "NaAlO",
  "functional": "PBE",
  "state": "optimized geometry",
  "polymorph_energy_mev_per_atom": 64,
  "lattice_angstrom": [[2.9739, 0.0000, 0.0000], [0.0000, 5.0022, 0.0000], [-1.4622, 0.0000, 6.2376]],
  "species": ["Na", "Na", "Al", "Al", "O", "O"],
  "fractional_positions": [[0.5694, 0.0667, 0.6280], [0.4306, 0.5667, 0.3720], [0.8181, 0.0644, 0.1387], [0.1819, 0.5644, 0.8613], [0.2448, 0.2227, 0.9897], [0.7552, 0.7227, 0.0103]]
}

Record 4
{
  "formula": "MgMnCd2",
  "functional": "PBE",
  "state": "optimized geometry",
  "e_form_ev_per_atom": 0.13,
  "lattice_angstrom": [[3.0664, 0.0000, 0.0000], [0.0000, 3.0664, 0.0000], [0.0000, 0.0000, 8.2759]],
  "species": ["Cd", "Cd", "Mg", "Mn"],
  "fractional_positions": [[0.0000, 0.0000, 0.9745], [0.5000, 0.5000, 0.2544], [0.0000, 0.0000, 0.5245], [0.5000, 0.5000, 0.7466]]
}

Record 5
{
  "formula": "NdY8Th2",
  "functional": "PBE",
  "state": "optimized geometry",
  "e_form_ev_per_atom": 0.18,
  "lattice_angstrom": [[-3.2722, -4.3160, 1.4718], [8.3240, -5.9029, -0.2662], [7.5160, -3.0935, 6.1760]],
  "species": ["Nd", "Y", "Y", "Y", "Y", "Y", "Y", "Y", "Y", "Th", "Th"],
  "fractional_positions": [[0.0000, 0.0000, 0.0000], [0.2639, 0.1364, 0.5983], [0.2639, 0.5983, 0.1364], [0.7361, 0.8636, 0.4017], [0.2379, 0.5476, 0.5476], [0.7361, 0.4017, 0.8636], [0.2332, 0.1842, 0.1842], [0.7668, 0.8158, 0.8158], [0.7621, 0.4524, 0.4524], [0.7399, 0.2827, 0.2827], [0.2601, 0.7173, 0.7173]]
}

Record 6
{
  "formula": "LaYSc2",
  "functional": "PBE",
  "state": "optimized geometry",
  "polymorph_energy_mev_per_atom": 0,
  "e_form_ev_per_atom": 0.05,
  "lattice_angstrom": [[5.3368, 0.0000, 0.0000], [0.0000, 3.4361, 0.0109], [0.0000, 1.6921, 6.4797]],
  "species": ["Y", "Sc", "Sc", "La"],
  "fractional_positions": [[0.0000, 0.4587, 0.4586], [0.0000, 0.1840, 0.0063], [0.5000, 0.0630, 0.2497], [0.5000, 0.7943, 0.7853]]
}

Record 7
{
  "formula": "YSc4Ru",
  "functional": "PBE",
  "state": "optimized geometry",
  "e_form_ev_per_atom": 0.41,
  "lattice_angstrom": [[0.0000, 4.1026, 4.1026], [4.1026, 0.0000, 4.1026], [4.1026, 4.1026, 0.0000]],
  "species": ["Y", "Sc", "Sc", "Sc", "Sc", "Ru"],
  "fractional_positions": [[0.7500, 0.7500, 0.7500], [0.8787, 0.3738, 0.3738], [0.3738, 0.3738, 0.8787], [0.3738, 0.8787, 0.3738], [0.3738, 0.3738, 0.3738], [0.0000, 0.0000, 0.0000]]
}

Record 8
{
  "formula": "NaHfIn",
  "functional": "PBE",
  "state": "optimized geometry",
  "polymorph_energy_mev_per_atom": 48,
  "e_form_ev_per_atom": -0.04,
  "lattice_angstrom": [[4.2167, 0.0000, 0.0000], [0.0000, 11.3852, 0.0000], [0.0000, 0.0000, 3.2278]],
  "species": ["Na", "Na", "Hf", "Hf", "In", "In"],
  "fractional_positions": [[0.0000, 0.1151, 0.0000], [0.5000, 0.8849, 0.5000], [0.0000, 0.4287, 0.0000], [0.5000, 0.5713, 0.5000], [0.0000, 0.7101, 0.0000], [0.5000, 0.2899, 0.5000]]
}